# VSiPCl2, relaxed, DFT GGA-PBE
# V: 103.01 Å³ per cell
# Formation energy without anion corrections: 409 meV/atom
# Total magnetization: 0.60 μB/atom
# Theoretical density: 2.92 g/cm³
# ΔE to the lowest computed polymorph: 0.245 eV/atom
data_VSiPCl2
_chemical_formula_sum 'V1 Si1 P1 Cl2'
_symmetry_space_group_name_H-M 'P 4/m m m'
_symmetry_Int_Tables_number 123
_symmetry_space_group_name_Hall '-P 4 2'
_cell_length_a 4.604
_cell_length_b 4.604
_cell_length_c 4.860
_cell_angle_alpha 90.00
_cell_angle_beta 90.00
_cell_angle_gamma 90.00
loop_
_atom_site_label
_atom_site_fract_x
_atom_site_fract_y
_atom_site_fract_z
_atom_site_occupancy
V1 0.000 0.000 0.000 1
Si1 0.500 0.500 0.500 1
P1 0.500 0.500 0.000 1
Cl1 0.000 0.500 0.500 1

---

# SbMoIr2, relaxed, DFT GGA-PBE
# V: 65.32 Å³ per cell
# Formation energy without anion corrections: 217 meV/atom
# Total magnetization: 0.00 μB/atom
# Theoretical density: 15.31 g/cm³
data_SbMoIr2
_chemical_formula_sum 'Sb1 Mo1 Ir2'
_symmetry_space_group_name_H-M 'P 1 2/m 1'
_symmetry_Int_Tables_number 10
_cell_length_a 4.775
_cell_length_b 2.890
_cell_length_c 4.927
_cell_angle_alpha 90.00
_cell_angle_beta 106.09
_cell_angle_gamma 90.00
loop_
_symmetry_equiv_pos_as_xyz
'x,y,z'
'-x,-y,-z'
'-x,y,-z'
'x,-y,z'
loop_
_atom_site_label
_atom_site_fract_x
_atom_site_fract_y
_atom_site_fract_z
_atom_site_occupancy
Sb1 0.000 0.000 0.000 1
Mo1 0.500 0.500 0.000 1
Ir1 0.000 0.500 0.500 1
Ir2 0.500 0.000 0.500 1

---

formation energy without anion corrections of number 2 (SbMoIr2)? 217 meV/atom

---

Look up the theoretical density of the second one. 15.31 g/cm³

---

formation energy without anion corrections of number 2 (SbMoIr2)? 217 meV/atom